Material: TmPPd
Method: DFT, PBE
State: relaxed

Unit cell a=6.144 b=3.794 c=5.347 alpha=110.78 beta=86.39 gamma=90.00
Fractional positions:
1 Tm 0.681 0.125 0.249
2 Tm 0.319 0.875 0.751
3 P 0.674 0.411 0.822
4 P 0.326 0.589 0.178
5 Pd 0.868 0.816 0.632
6 Pd 0.132 0.184 0.368

Results
ρ in g/cm³: 8.7
E in Ry/atom: -0.44011
Formation energy from the elements in eV/atom: -0.96
M_tot in μB per formula unit: 0.00

***

Material: ZnFe3Cu
Method: DFT, PBE
State: relaxed

Unit cell a=4.386 b=4.386 c=4.386 alpha=90.00 beta=90.00 gamma=90.00
Site moments in Bohr magnetons follow the coordinates.
Fractional positions:
1 Zn 0.000 0.000 0.000  -0.12
2 Fe 0.000 0.500 0.000  2.85
3 Fe 0.000 0.000 0.500  3.01
4 Fe 0.500 0.000 0.000  2.56
5 Cu 0.500 0.500 0.500  0.07

Results
ρ in g/cm³: 5.8
E in Ry/atom: -0.35654
Energy relative to the lowest polymorph listed for this composition in meV/atom: 196
Formation energy from the elements in eV/atom: 1.30
M_tot in μB per formula unit: 8.11

***

Material: Sc2ReMo
Method: DFT, PBE
State: relaxed

Unit cell a=9.217 b=9.217 c=9.217 alpha=18.92 beta=18.92 gamma=18.92
Fractional positions:
1 Mo 0.250 0.250 0.250
2 Re 0.750 0.750 0.750
3 Sc 0.004 0.004 0.004
4 Sc 0.496 0.496 0.496

Results
ρ in g/cm³: 8.6
E in Ry/atom: -0.63759
Energy relative to the lowest polymorph listed for this composition in meV/atom: 400
Formation energy from the elements in eV/atom: 0.31
M_tot in μB per formula unit: 0.00

***

Material: IrSe2NO
Method: DFT, PBE
State: relaxed

Unit cell a=4.439 b=4.439 c=3.540 alpha=90.00 beta=90.00 gamma=90.00
Site moments in Bohr magnetons follow the coordinates.
Fractional positions:
1 Ir 0.500 0.500 0.500  0.19
2 O 0.000 0.000 0.000  -0.02
3 Se 0.000 0.500 0.000  0.07
4 Se 0.500 0.000 0.000  0.07
5 N 0.000 0.000 0.500  0.87

Results
ρ in g/cm³: 9.0
E in Ry/atom: -0.31880
Energy relative to the lowest polymorph listed for this composition in meV/atom: 477
ΔE_f (raw) in eV per atom: 1.485
M_tot in μB per formula unit: 1.51

***

Material: KMgZr2
Method: DFT, PBE
State: relaxed

Unit cell a=3.149 b=5.510 c=6.189 alpha=90.00 beta=90.00 gamma=90.00
Fractional positions:
1 K 0.500 0.000 0.500
2 Mg 0.000 0.500 0.500
3 Zr 0.000 0.000 0.000
4 Zr 0.500 0.500 0.000

Results
ρ in g/cm³: 3.8
E in Ry/atom: -0.31676
Formation energy from the elements in eV/atom: 0.64
M_tot in μB per formula unit: 0.00

***

Material: DyP2Pd6
Method: DFT, PBE
State: relaxed

Unit cell a=4.079 b=4.079 c=8.631 alpha=90.00 beta=90.00 gamma=90.00
Fractional positions:
1 Dy 0.000 0.000 0.000
2 P 0.500 0.500 0.127
3 P 0.500 0.500 0.873
4 Pd 0.000 0.500 0.269
5 Pd 0.500 0.000 0.269
6 Pd 0.000 0.500 0.731
7 Pd 0.500 0.000 0.731
8 Pd 0.500 0.500 0.500
9 Pd 0.000 0.000 0.500

Results
ρ in g/cm³: 10.0
E in Ry/atom: -0.42693
Formation energy from the elements in eV/atom: -0.63
M_tot in μB per formula unit: 0.00

***

Material: Tc2GeN
Method: DFT, PBE
State: relaxed

Unit cell a=5.206 b=5.206 c=5.991 alpha=64.25 beta=64.25 gamma=90.00
Site moments in Bohr magnetons follow the coordinates.
Fractional positions:
1 Ge 0.000 0.000 0.000  -0.01
2 Ge 0.750 0.250 0.500  -0.02
3 Tc 0.535 0.125 0.250  0.47
4 Tc 0.215 0.625 0.250  0.47
5 Tc 0.375 0.465 0.750  0.50
6 Tc 0.875 0.785 0.750  0.59
7 N 0.500 0.500 0.000  -0.02
8 N 0.250 0.750 0.500  -0.02

Results
ρ in g/cm³: 7.3
E in Ry/atom: -0.59323
Energy relative to the lowest polymorph listed for this composition in meV/atom: 222
ΔE_f (raw) in eV per atom: 0.347
M_tot in μB per formula unit: 1.04

***

Material: CeSm3Tl4
Method: DFT, PBE
State: relaxed

Unit cell a=3.570 b=7.398 c=10.306 alpha=111.03 beta=99.97 gamma=90.00
Site moments in Bohr magnetons follow the coordinates.
Fractional positions:
1 Ce 0.500 0.000 0.000  1.16
2 Sm 0.000 0.500 0.000  0.01
3 Sm 0.218 0.218 0.437  -0.01
4 Sm 0.782 0.782 0.563  -0.01
5 Tl 0.372 0.584 0.744  0.00
6 Tl 0.628 0.416 0.256  0.00
7 Tl 0.628 0.839 0.256  0.00
8 Tl 0.372 0.161 0.744  0.00

Results
ρ in g/cm³: 9.4
E in Ry/atom: -0.28526
Energy relative to the lowest polymorph listed for this composition in meV/atom: 156
Formation energy from the elements in eV/atom: -0.19
M_tot in μB per formula unit: 1.65

***

Material: LaSmPd2
Method: DFT, PBE
State: relaxed

Unit cell a=3.582 b=3.582 c=7.437 alpha=90.00 beta=90.00 gamma=90.00
Fractional positions:
1 Pd 0.000 0.000 0.765
2 Pd 0.000 0.000 0.235
3 Sm 0.500 0.500 0.000
4 La 0.500 0.500 0.500

Results
ρ in g/cm³: 8.7
E in Ry/atom: -0.42443
Energy relative to the lowest polymorph listed for this composition in meV/atom: 70
Formation energy from the elements in eV/atom: -0.77
M_tot in μB per formula unit: 0.00

***

Material: TbEr2TaO8
Method: DFT, PBE
State: relaxed

Unit cell a=5.048 b=5.053 c=6.849 alpha=90.00 beta=90.00 gamma=90.51
Site moments in Bohr magnetons follow the coordinates.
Fractional positions:
1 Tb 0.000 0.000 0.500  0.02
2 Er 0.500 0.500 0.752  -0.01
3 Er 0.500 0.500 0.248  -0.01
4 Ta 0.000 0.000 0.000  -0.07
5 O 0.187 0.813 0.218  0.19
6 O 0.718 0.718 0.000  0.28
7 O 0.813 0.187 0.218  0.19
8 O 0.813 0.187 0.782  0.19
9 O 0.282 0.282 0.000  0.28
10 O 0.187 0.813 0.782  0.19
11 O 0.689 0.689 0.500  0.24
12 O 0.311 0.311 0.500  0.24

Results
ρ in g/cm³: 7.6
E in Ry/atom: -0.61494
ΔE_f (raw) in eV per atom: -2.927
M_tot in μB per formula unit: 2.04

***

Material: KRbCaS2
Method: DFT, PBE
State: relaxed

Unit cell a=5.725 b=5.137 c=5.725 alpha=90.00 beta=90.00 gamma=90.00
Fractional positions:
1 S 0.000 0.000 0.500
2 S 0.500 0.000 0.000
3 Ca 0.000 0.500 0.000
4 K 0.000 0.000 0.000
5 Rb 0.500 0.500 0.500

Results
ρ in g/cm³: 2.3
E in Ry/atom: -0.18743
ΔE_f (raw) in eV per atom: -0.086
M_tot in μB per formula unit: 0.00

***

Material: LaMgSi3
Method: DFT, PBE
State: relaxed

Unit cell a=5.490 b=5.490 c=5.490 alpha=90.00 beta=90.00 gamma=90.00
Fractional positions:
1 Si 0.000 0.500 0.000
2 Si 0.000 0.000 0.500
3 Si 0.500 0.000 0.000
4 Mg 0.500 0.500 0.500
5 La 0.000 0.000 0.000

Results
ρ in g/cm³: 2.5
E in Ry/atom: -0.24586
Energy relative to the lowest polymorph listed for this composition in meV/atom: 1602
ΔE_f (raw) in eV per atom: 1.213
M_tot in μB per formula unit: 0.00

***

Material: Ca2NbGa2
Method: DFT, PBE
State: relaxed

Unit cell a=3.538 b=3.538 c=10.596 alpha=80.39 beta=80.39 gamma=90.00
Fractional positions:
1 Nb 0.000 0.000 0.000
2 Ca 0.391 0.391 0.218
3 Ca 0.609 0.609 0.782
4 Ga 0.750 0.250 0.500
5 Ga 0.250 0.750 0.500

Results
ρ in g/cm³: 4.0
E in Ry/atom: -0.26991
Energy relative to the lowest polymorph listed for this composition in meV/atom: 67
Formation energy from the elements in eV/atom: 0.35
M_tot in μB per formula unit: 0.00